[1]
{
  "formula": "La4RuAu",
  "functional": "PBE",
  "state": "relaxed",
  "total_energy_ev_per_atom": -5.760,
  "ef_kj_per_mol_atoms": -37.0,
  "spacegroup": "No. 15",
  "relative_energy_mev_per_atom": 42.5,
  "cell": [[4.6251, -7.4411, 0.0000], [4.6251, 7.4411, 0.0000], [-4.2293, 0.0000, 5.6543]],
  "species": ["La", "La", "La", "La", "La", "La", "La", "La", "Ru", "Ru", "Au", "Au"],
  "frac_coords": [[0.0504, 0.6205, 0.8358], [0.2045, 0.2789, 0.7414], [0.2789, 0.2045, 0.2414], [0.3795, 0.9496, 0.6642], [0.6205, 0.0504, 0.3358], [0.7211, 0.7955, 0.7586], [0.7955, 0.7211, 0.2586], [0.9496, 0.3795, 0.1642], [0.0914, 0.9086, 0.7500], [0.9086, 0.0914, 0.2500], [0.3798, 0.6202, 0.2500], [0.6202, 0.3798, 0.7500]]
}

=====

[2]
{
  "formula": "Cs2SnIBr5",
  "functional": "PBE",
  "state": "relaxed",
  "total_energy_ev_per_atom": -2.917,
  "spacegroup": "No. 107",
  "cell": [[-4.0540, 4.0540, 5.6137], [4.0540, -4.0540, 5.6137], [4.0540, 4.0540, -5.6137]],
  "species": ["Cs", "Cs", "Sn", "I", "Br", "Br", "Br", "Br", "Br"],
  "frac_coords": [[0.0000, 0.5000, 0.5000], [0.5000, 0.0000, 0.5000], [0.2504, 0.2504, 0.0000], [0.9942, 0.9942, 0.0000], [0.0179, 0.0179, 0.5347], [0.0179, 0.4831, 0.0000], [0.4831, 0.0179, 0.0000], [0.4831, 0.4831, 0.4653], [0.4865, 0.4865, 0.0000]]
}

=====

[3]
{
  "formula": "Sm2YSc3",
  "functional": "PBE",
  "state": "relaxed",
  "total_energy_ev_per_atom": -5.585,
  "ef_kj_per_mol_atoms": 22.3,
  "spacegroup": "No. 164",
  "relative_energy_mev_per_atom": 27.9,
  "cell": [[6.3145, 0.0000, 0.0000], [-3.1572, 5.4685, 0.0000], [0.0000, 0.0000, 10.4851]],
  "species": ["Sm", "Sm", "Sm", "Sm", "Y", "Y", "Sc", "Sc", "Sc", "Sc", "Sc", "Sc"],
  "frac_coords": [[0.0000, 0.0000, 0.0000], [0.0000, 0.0000, 0.5000], [0.3333, 0.6667, 0.0652], [0.6667, 0.3333, 0.9348], [0.3333, 0.6667, 0.4384], [0.6667, 0.3333, 0.5616], [0.1704, 0.3409, 0.7480], [0.1704, 0.8296, 0.7480], [0.3409, 0.1704, 0.2520], [0.6591, 0.8296, 0.7480], [0.8296, 0.1704, 0.2520], [0.8296, 0.6591, 0.2520]]
}